# 1
CeCuBi2 after structural relaxation, computed with PBE-GGA.

Cell: 4.848 4.848 4.360 Å, 90.00 90.00 90.00°
Positions (direct):
Ce 0.000 0.000 0.000
Cu 0.500 0.500 0.000
Bi 0.000 0.500 0.500
Bi 0.500 0.000 0.500

Properties
D(E_F) in states/eV/atom: 1.02
Volume in Å³ per cell: 102.5
DFT formation energy in eV/atom: -0.3010
SG: P4/mmm, No. 123
Crystal system: tetragonal

# 2
CeCuBiO5 after structural relaxation, computed with PBE-GGA.

Cell: 5.931 5.931 8.072 Å, 101.74 101.74 113.78°
Positions (direct):
Ce 0.000 0.000 0.000
Ce 0.000 0.000 0.500
Cu 0.338 0.662 0.750
Cu 0.662 0.338 0.250
Bi 0.322 0.678 0.250
Bi 0.678 0.322 0.750
O 0.088 0.912 0.250
O 0.134 0.703 0.896
O 0.297 0.866 0.604
O 0.340 0.392 0.587
O 0.392 0.340 0.087
O 0.608 0.660 0.913
O 0.660 0.608 0.413
O 0.703 0.134 0.396
O 0.866 0.297 0.104
O 0.912 0.088 0.750

Properties
D(E_F) in states/eV/atom: 0.51
Volume in Å³ per cell: 241.1
SG: C2/c, No. 15
E_form (uncorrected) in eV per atom: -1.549
Crystal system: monoclinic

# 3
CeDy2Bi3 after structural relaxation, computed with PBE-GGA.

Cell: 4.513 6.391 13.556 Å, 90.00 90.00 90.00°
Positions (direct):
Ce 0.000 0.000 0.000
Ce 0.500 0.500 0.500
Dy 0.000 0.000 0.334
Dy 0.000 0.000 0.666
Dy 0.500 0.500 0.166
Dy 0.500 0.500 0.834
Bi 0.000 0.500 0.000
Bi 0.000 0.500 0.330
Bi 0.000 0.500 0.670
Bi 0.500 0.000 0.170
Bi 0.500 0.000 0.500
Bi 0.500 0.000 0.830

Properties
D(E_F) in states/eV/atom: 1.26
Volume in Å³ per cell: 391.0
DFT formation energy in eV/atom: -0.8338
SG: Immm, No. 71
Crystal system: orthorhombic

# 4
Ce2DyBi3 after structural relaxation, computed with PBE-GGA.

Cell: 4.561 6.455 13.672 Å, 90.00 90.00 90.00°
Positions (direct):
Ce 0.000 0.000 0.168
Ce 0.000 0.000 0.832
Ce 0.500 0.500 0.332
Ce 0.500 0.500 0.668
Dy 0.000 0.000 0.500
Dy 0.500 0.500 0.000
Bi 0.000 0.500 0.163
Bi 0.000 0.500 0.500
Bi 0.000 0.500 0.837
Bi 0.500 0.000 0.000
Bi 0.500 0.000 0.337
Bi 0.500 0.000 0.663

Properties
D(E_F) in states/eV/atom: 2.16
Volume in Å³ per cell: 402.5
DFT formation energy in eV/atom: -0.8108
SG: Immm, No. 71
Crystal system: orthorhombic

# 5
CeDy2Bi after structural relaxation, computed with PBE-GGA.

Cell: 3.996 3.996 7.330 Å, 90.00 90.00 90.00°
Positions (direct):
Ce 0.000 0.000 0.000
Dy 0.500 0.500 0.270
Dy 0.500 0.500 0.730
Bi 0.000 0.000 0.500

Properties
D(E_F) in states/eV/atom: 1.66
Volume in Å³ per cell: 117.1
Energy above the lowest structure with this stoichiometry in eV per atom: 0.034
DFT formation energy in eV/atom: -0.3042
SG: P4/mmm, No. 123
Crystal system: tetragonal

# 6
CeDy2Bi after structural relaxation, computed with PBE-GGA.

Cell: 3.587 3.587 32.683 Å, 90.00 90.00 120.00°
Positions (direct):
Ce 0.000 0.000 0.000
Ce 0.333 0.667 0.667
Ce 0.667 0.333 0.333
Dy 0.000 0.000 0.247
Dy 0.000 0.000 0.753
Dy 0.333 0.667 0.419
Dy 0.333 0.667 0.914
Dy 0.667 0.333 0.086
Dy 0.667 0.333 0.581
Bi 0.000 0.000 0.500
Bi 0.333 0.667 0.167
Bi 0.667 0.333 0.833

Properties
D(E_F) in states/eV/atom: 1.59
Volume in Å³ per cell: 364.1
Energy above the lowest structure with this stoichiometry in eV per atom: 0.173
DFT formation energy in eV/atom: -0.1651
SG: R-3m, No. 166
Crystal system: trigonal

Question: What is the formula in the second record?
Answer: CeCuBiO5

Question: Look up the volume of the sixth one.
Answer: 364.1 Å³ per cell

Question: Number 3 is which compound?
Answer: CeDy2Bi3